First-principles (PBE) data for La7Pm2 after structural relaxation, as listed in the Alexandria database.

The structure belongs to space group P-31m (No. 162); the cell edges are 6.4274, 6.4274 and 9.0561 Å and the angles 90.00°, 90.00° and 120.00°. The distinct sites, in fractional coordinates, are La at (0.0000, 0.0000, 0.0000), La at (0.0000, 0.3338, 0.6672) and Pm at (0.3333, 0.6667, 0.0000).

The calculation puts the excess energy over the best structure of this formula in the dataset at 0.0 meV per atom. The value obtained for the energy is -4.8796 eV/atom. The energy of formation comes out at 0.1 eV per formula unit.